Material: BaC3
Method: DFT, PBE-GGA
State: relaxed

Geometry as CIF:
```
data_BaC3
_chemical_formula_sum 'Ba1 C3'
_cell_length_a 3.7947
_cell_length_b 3.7947
_cell_length_c 5.5464
_cell_angle_alpha 90.00
_cell_angle_beta 90.00
_cell_angle_gamma 120.00
_symmetry_space_group_name_H-M 'P -6 m 2'
_symmetry_Int_Tables_number 187
_symmetry_space_group_name_Hall 'P -6 2'
loop_
_atom_site_label
_atom_site_type_symbol
_atom_site_fract_x
_atom_site_fract_y
_atom_site_fract_z
Ba1 Ba 0.0000 0.0000 0.0000
C1 C 0.0000 0.0000 0.5000
C2 C 0.6667 0.3333 0.3802
```

Properties
The calculation puts the calculated density at 4.162 Mg/m³. Its calculated volume is 69.2 Å³ per cell. As for the crystal system: hexagonal. Its formation energy is 1819 meV per atom. The polymorph energy (0 for the lowest one) comes out at 6.21 eV per formula unit. The final energy comes out at -22.320 eV/cell.

Material: CaHoSn
Method: DFT, PBE-GGA
State: relaxed

Geometry as CIF:
```
data_CaHoSn
_chemical_formula_sum 'Ca1 Ho1 Sn1'
_cell_length_a 5.2391
_cell_length_b 5.2391
_cell_length_c 3.7426
_cell_angle_alpha 90.00
_cell_angle_beta 90.00
_cell_angle_gamma 120.00
_symmetry_space_group_name_H-M 'P 3 m 1'
_symmetry_Int_Tables_number 156
_symmetry_space_group_name_Hall 'P 3 -2"'
loop_
_atom_site_label
_atom_site_type_symbol
_atom_site_fract_x
_atom_site_fract_y
_atom_site_fract_z
Ca1 Ca 0.0000 0.0000 0.0000
Ho1 Ho 0.6667 0.3333 0.5524
Sn1 Sn 0.3333 0.6667 0.3067
```

Properties
The calculation puts the calculated density at 6.042 Mg/m³. Its calculated volume is 89.0 Å³ per cell. As for the crystal system: trigonal. Its formation energy is -333 meV per atom. The final energy comes out at -11.580 eV/cell.

Material: TaFeIN2
Method: DFT, PBE-GGA
State: relaxed

Geometry as CIF:
```
data_TaFeIN2
_chemical_formula_sum 'Ta1 Fe1 I1 N2'
_cell_length_a 3.8627
_cell_length_b 3.8627
_cell_length_c 5.0452
_cell_angle_alpha 90.00
_cell_angle_beta 90.00
_cell_angle_gamma 90.00
_symmetry_space_group_name_H-M 'P 4/m m m'
_symmetry_Int_Tables_number 123
_symmetry_space_group_name_Hall '-P 4 2'
loop_
_atom_site_label
_atom_site_type_symbol
_atom_site_fract_x
_atom_site_fract_y
_atom_site_fract_z
Ta1 Ta 0.0000 0.0000 0.0000
Fe1 Fe 0.5000 0.5000 0.5000
I1 I 0.5000 0.5000 0.0000
N1 N 0.0000 0.5000 0.5000
```

Properties
The calculation puts the calculated density at 8.641 Mg/m³. Its calculated volume is 75.3 Å³ per cell. As for the crystal system: tetragonal. As for the uncorrected formation energy: 1576.6 meV/atom. The polymorph energy (0 for the lowest one) comes out at 4.48 eV per formula unit. The final energy comes out at -30.633 eV/cell.

Material: TaAl2Zn
Method: DFT, PBE-GGA
State: relaxed

Geometry as CIF:
```
data_TaAl2Zn
_chemical_formula_sum 'Ta1 Al2 Zn1'
_cell_length_a 4.0076
_cell_length_b 4.0076
_cell_length_c 3.8934
_cell_angle_alpha 90.00
_cell_angle_beta 90.00
_cell_angle_gamma 90.00
_symmetry_space_group_name_H-M 'P 4/m m m'
_symmetry_Int_Tables_number 123
_symmetry_space_group_name_Hall '-P 4 2'
loop_
_atom_site_label
_atom_site_type_symbol
_atom_site_fract_x
_atom_site_fract_y
_atom_site_fract_z
Ta1 Ta 0.0000 0.0000 0.0000
Al1 Al 0.0000 0.5000 0.5000
Zn1 Zn 0.5000 0.5000 0.0000
```

Properties
The calculation puts the calculated density at 7.975 Mg/m³. Its calculated volume is 62.5 Å³ per cell. As for the crystal system: tetragonal. Its formation energy is -162 meV per atom. The final energy comes out at -21.262 eV/cell.

Material: KPt
Method: DFT, PBE-GGA
State: relaxed

Geometry as CIF:
```
data_KPt
_chemical_formula_sum 'K1 Pt1'
_cell_length_a 4.3635
_cell_length_b 4.3635
_cell_length_c 2.6900
_cell_angle_alpha 90.00
_cell_angle_beta 90.00
_cell_angle_gamma 90.00
_symmetry_space_group_name_H-M 'P 4/m m m'
_symmetry_Int_Tables_number 123
_symmetry_space_group_name_Hall '-P 4 2'
loop_
_atom_site_label
_atom_site_type_symbol
_atom_site_fract_x
_atom_site_fract_y
_atom_site_fract_z
K1 K 0.0000 0.0000 0.0000
Pt1 Pt 0.5000 0.5000 0.5000
```

Properties
The calculation puts the calculated density at 7.592 Mg/m³. Its calculated volume is 51.2 Å³ per cell. As for the crystal system: tetragonal. Its formation energy is 273 meV per atom. The final energy comes out at -6.592 eV/cell.

Material: K4Pu3HgS8
Method: DFT, PBE-GGA
State: relaxed

Geometry as CIF:
```
data_K4Pu3HgS8
_chemical_formula_sum 'K12 Pu9 Hg3 S24'
_cell_length_a 8.2029
_cell_length_b 8.2029
_cell_length_c 21.9393
_cell_angle_alpha 90.00
_cell_angle_beta 90.00
_cell_angle_gamma 120.00
_symmetry_space_group_name_H-M 'R -3 m'
_symmetry_Int_Tables_number 166
_symmetry_space_group_name_Hall '-R 3 2"'
loop_
_atom_site_label
_atom_site_type_symbol
_atom_site_fract_x
_atom_site_fract_y
_atom_site_fract_z
K1 K 0.0000 0.0000 0.0000
K2 K 0.0000 0.5000 0.0000
Pu1 Pu 0.0000 0.5000 0.5000
Hg1 Hg 0.0000 0.0000 0.5000
S1 S 0.0000 0.0000 0.2329
S2 S 0.0107 0.5054 0.7663
```

Properties
The calculation puts the calculated density at 5.243 Mg/m³. Its calculated volume is 1278.4 Å³ per cell. As for the crystal system: trigonal. As for the uncorrected formation energy: -1318.0 meV/atom. The final energy comes out at -305.386 eV/cell.

Material: NiP2
Method: DFT, PBE-GGA
State: relaxed

Geometry as CIF:
```
data_NiP2
_chemical_formula_sum 'Ni4 P8'
_cell_length_a 5.8057
_cell_length_b 4.2089
_cell_length_c 7.0813
_cell_angle_alpha 90.00
_cell_angle_beta 90.00
_cell_angle_gamma 90.00
_symmetry_space_group_name_H-M 'P n m a'
_symmetry_Int_Tables_number 62
_symmetry_space_group_name_Hall '-P 2ac 2n'
loop_
_atom_site_label
_atom_site_type_symbol
_atom_site_fract_x
_atom_site_fract_y
_atom_site_fract_z
Ni1 Ni 0.2445 0.2500 0.0639
P1 P 0.0900 0.2500 0.5926
P2 P 0.1360 0.7500 0.8728
```

Properties
The calculation puts the calculated density at 4.631 Mg/m³. Its calculated volume is 173.0 Å³ per cell. As for the crystal system: orthorhombic. Its formation energy is -77 meV per atom. The final energy comes out at -67.334 eV/cell.

Material: TbHg2Pt
Method: DFT, PBE-GGA
State: relaxed

Geometry as CIF:
```
data_TbHg2Pt
_chemical_formula_sum 'Tb4 Hg8 Pt4'
_cell_length_a 6.9780
_cell_length_b 6.9780
_cell_length_c 6.9780
_cell_angle_alpha 90.00
_cell_angle_beta 90.00
_cell_angle_gamma 90.00
_symmetry_space_group_name_H-M 'F m -3 m'
_symmetry_Int_Tables_number 225
_symmetry_space_group_name_Hall '-F 4 2 3'
loop_
_atom_site_label
_atom_site_type_symbol
_atom_site_fract_x
_atom_site_fract_y
_atom_site_fract_z
Tb1 Tb 0.0000 0.0000 0.0000
Hg1 Hg 0.2500 0.2500 0.2500
Pt1 Pt 0.0000 0.0000 0.5000
```

Properties
The calculation puts the calculated density at 14.763 Mg/m³. Its calculated volume is 339.8 Å³ per cell. As for the crystal system: cubic. Its formation energy is -454 meV per atom. The final energy comes out at -52.368 eV/cell.

Material: RbZrPCl2
Method: DFT, PBE-GGA
State: relaxed

Geometry as CIF:
```
data_RbZrPCl2
_chemical_formula_sum 'Rb1 Zr1 P1 Cl2'
_cell_length_a 5.2551
_cell_length_b 5.2551
_cell_length_c 5.0552
_cell_angle_alpha 90.00
_cell_angle_beta 90.00
_cell_angle_gamma 90.00
_symmetry_space_group_name_H-M 'P 4/m m m'
_symmetry_Int_Tables_number 123
_symmetry_space_group_name_Hall '-P 4 2'
loop_
_atom_site_label
_atom_site_type_symbol
_atom_site_fract_x
_atom_site_fract_y
_atom_site_fract_z
Rb1 Rb 0.0000 0.0000 0.0000
Zr1 Zr 0.5000 0.5000 0.5000
P1 P 0.5000 0.5000 0.0000
Cl1 Cl 0.0000 0.5000 0.5000
```

Properties
The calculation puts the calculated density at 3.314 Mg/m³. Its calculated volume is 139.6 Å³ per cell. As for the crystal system: tetragonal. As for the uncorrected formation energy: -1204.8 meV/atom. The polymorph energy (0 for the lowest one) comes out at 0.00 eV per formula unit. The final energy comes out at -24.643 eV/cell.

Material: UGeW
Method: DFT, PBE-GGA
State: relaxed

Geometry as CIF:
```
data_UGeW
_chemical_formula_sum 'U4 Ge4 W4'
_cell_length_a 5.2234
_cell_length_b 5.2311
_cell_length_c 8.2530
_cell_angle_alpha 90.00
_cell_angle_beta 90.00
_cell_angle_gamma 90.00
_symmetry_space_group_name_H-M 'C m m m'
_symmetry_Int_Tables_number 65
_symmetry_space_group_name_Hall '-C 2 2'
loop_
_atom_site_label
_atom_site_type_symbol
_atom_site_fract_x
_atom_site_fract_y
_atom_site_fract_z
U1 U 0.0000 0.0000 0.1538
Ge1 Ge 0.0000 0.5000 0.3401
W1 W 0.0000 0.0000 0.5000
W2 W 0.0000 0.5000 0.0000
```

Properties
The calculation puts the calculated density at 14.566 Mg/m³. Its calculated volume is 225.5 Å³ per cell. As for the crystal system: orthorhombic. Its formation energy is 312 meV per atom. The final energy comes out at -111.690 eV/cell.

Material: CsMoP2Cl
Method: DFT, PBE-GGA
State: relaxed

Geometry as CIF:
```
data_CsMoP2Cl
_chemical_formula_sum 'Cs1 Mo1 P2 Cl1'
_cell_length_a 5.8275
_cell_length_b 5.8275
_cell_length_c 5.9885
_cell_angle_alpha 90.00
_cell_angle_beta 90.00
_cell_angle_gamma 90.00
_symmetry_space_group_name_H-M 'P 4/m m m'
_symmetry_Int_Tables_number 123
_symmetry_space_group_name_Hall '-P 4 2'
loop_
_atom_site_label
_atom_site_type_symbol
_atom_site_fract_x
_atom_site_fract_y
_atom_site_fract_z
Cs1 Cs 0.0000 0.0000 0.0000
Mo1 Mo 0.5000 0.5000 0.5000
P1 P 0.0000 0.5000 0.0000
Cl1 Cl 0.0000 0.0000 0.5000
```

Properties
The calculation puts the calculated density at 2.664 Mg/m³. Its calculated volume is 203.4 Å³ per cell. As for the crystal system: tetragonal. As for the uncorrected formation energy: 1958.6 meV/atom. The polymorph energy (0 for the lowest one) comes out at 11.32 eV per formula unit. The final energy comes out at -14.558 eV/cell.

Material: GdSnF
Method: DFT, PBE-GGA
State: relaxed

Geometry as CIF:
```
data_GdSnF
_chemical_formula_sum 'Gd1 Sn1 F1'
_cell_length_a 3.9235
_cell_length_b 3.9235
_cell_length_c 5.2748
_cell_angle_alpha 90.00
_cell_angle_beta 90.00
_cell_angle_gamma 120.00
_symmetry_space_group_name_H-M 'P -6 m 2'
_symmetry_Int_Tables_number 187
_symmetry_space_group_name_Hall 'P -6 2'
loop_
_atom_site_label
_atom_site_type_symbol
_atom_site_fract_x
_atom_site_fract_y
_atom_site_fract_z
Gd1 Gd 0.0000 0.0000 0.0000
Sn1 Sn 0.6667 0.3333 0.5000
F1 F 0.3333 0.6667 0.0000
```

Properties
The calculation puts the calculated density at 6.965 Mg/m³. Its calculated volume is 70.3 Å³ per cell. As for the crystal system: hexagonal. As for the uncorrected formation energy: -1902.1 meV/atom. The polymorph energy (0 for the lowest one) comes out at 0.00 eV per formula unit. The final energy comes out at -25.661 eV/cell.

- The highest calculated density belongs to which entry?
  TbHg2Pt

- Number 5 is which compound?
  KPt

- Which of these has the highest final energy?
  KPt